Arrangement one

VASP calculation (PBE) on a relaxed PrSmCd4 crystal.

POSCAR file:
```
PrSmCd4
1.0
3.4324 0.0000 0.0000
0.0000 5.0986 0.0000
0.0000 0.0000 8.8137
Pr Sm Cd
1 1 4
Direct
0.0000 0.0000 0.0000 Pr
0.0000 0.5000 0.5000 Sm
0.5000 0.0000 0.3354 Cd
0.5000 0.0000 0.6646 Cd
0.5000 0.5000 0.1693 Cd
0.5000 0.5000 0.8307 Cd
```

Summary:
The density of states at the Fermi level comes out at 3.97 states/eV/f.u. For the volume, the calculation gives 25.71 Å³/atom. For the magnetization, the calculation gives 0.00 Bohr magnetons per cell.

Arrangement two

VASP calculation (PBE) on a relaxed PrSmCd4 crystal.

POSCAR file:
```
PrSmCd4
1.0
0.0000 4.2416 4.2416
4.2416 0.0000 4.2416
4.2416 4.2416 0.0000
Pr Sm Cd
1 1 4
Direct
0.0000 0.0000 0.0000 Pr
0.7500 0.7500 0.7500 Sm
0.3751 0.3751 0.3751 Cd
0.3751 0.3751 0.8748 Cd
0.3751 0.8748 0.3751 Cd
0.8748 0.3751 0.3751 Cd
```

Summary:
The density of states at the Fermi level comes out at 3.15 states/eV/f.u. For the volume, the calculation gives 25.44 Å³/atom. For the magnetization, the calculation gives 0.00 Bohr magnetons per cell.

Name the least stable of them. arrangement two.

Arrangement one

VASP calculation (PBE) on a relaxed Pr12Sm7Cd crystal.

POSCAR file:
```
Pr12Sm7Cd
1.0
6.3000 3.6373 5.2198
-6.3000 3.6373 5.2198
0.0000 -7.2746 5.2198
Pr Sm Cd
12 7 1
Direct
0.1230 0.4642 0.3380 Pr
0.2105 0.7644 0.6158 Pr
0.2356 0.3842 0.7895 Pr
0.3380 0.1230 0.4642 Pr
0.3842 0.7895 0.2356 Pr
0.4642 0.3380 0.1230 Pr
0.5358 0.6620 0.8770 Pr
0.6158 0.2105 0.7644 Pr
0.6620 0.8770 0.5358 Pr
0.7644 0.6158 0.2105 Pr
0.7895 0.2356 0.3842 Pr
0.8770 0.5358 0.6620 Pr
0.0052 0.8931 0.3281 Sm
0.1069 0.6719 0.9948 Sm
0.3281 0.0052 0.8931 Sm
0.5000 0.5000 0.5000 Sm
0.6719 0.9948 0.1069 Sm
0.8931 0.3281 0.0052 Sm
0.9948 0.1069 0.6719 Sm
0.0000 0.0000 0.0000 Cd
```

Summary:
The density of states at the Fermi level comes out at 35.92 states/eV/f.u. For the volume, the calculation gives 35.88 Å³/atom. For the magnetization, the calculation gives 0.00 Bohr magnetons per cell.

Arrangement two

VASP calculation (PBE) on a relaxed Pr12Sm7Cd crystal.

POSCAR file:
```
Pr12Sm7Cd
1.0
-5.8468 5.8468 5.8468
5.8468 -5.8468 5.8468
5.8468 5.8468 -5.8468
Pr Sm Cd
12 7 1
Direct
0.0007 0.7563 0.2444 Pr
0.2444 0.0007 0.7563 Pr
0.2437 0.2444 0.4881 Pr
0.2444 0.4881 0.2437 Pr
0.2437 0.7556 0.9993 Pr
0.4881 0.2437 0.2444 Pr
0.5119 0.7563 0.7556 Pr
0.7563 0.2444 0.0007 Pr
0.7556 0.5119 0.7563 Pr
0.7563 0.7556 0.5119 Pr
0.7556 0.9993 0.2437 Pr
0.9993 0.2437 0.7556 Pr
0.0000 0.0000 0.5000 Sm
0.0000 0.5000 0.0000 Sm
0.0000 0.5000 0.5000 Sm
0.5000 0.0000 0.0000 Sm
0.5000 0.0000 0.5000 Sm
0.5000 0.5000 0.0000 Sm
0.5000 0.5000 0.5000 Sm
0.0000 0.0000 0.0000 Cd
```

Summary:
The density of states at the Fermi level comes out at 26.95 states/eV/f.u. For the volume, the calculation gives 39.97 Å³/atom. For the magnetization, the calculation gives 0.00 Bohr magnetons per cell.

Name the least stable of them. arrangement two.

Arrangement one

VASP calculation (PBE) on a relaxed PrSmCd crystal.

POSCAR file:
```
PrSmCd
1.0
6.3542 0.0000 0.0000
0.0000 3.4158 0.0000
0.0000 0.0000 8.4231
Pr Sm Cd
2 2 2
Direct
0.0000 0.0000 0.0000 Pr
0.5000 0.0000 0.0000 Pr
0.2500 0.0000 0.3859 Sm
0.7500 0.0000 0.6141 Sm
0.2500 0.5000 0.7088 Cd
0.7500 0.5000 0.2912 Cd
```

Summary:
The density of states at the Fermi level comes out at 3.89 states/eV/f.u. For the volume, the calculation gives 30.47 Å³/atom. For the magnetization, the calculation gives 0.00 Bohr magnetons per cell.

Arrangement two

VASP calculation (PBE) on a relaxed PrSmCd crystal.

POSCAR file:
```
PrSmCd
1.0
-1.8762 1.8762 6.5702
1.8762 -1.8762 6.5702
1.8762 1.8762 -6.5702
Pr Sm Cd
1 1 1
Direct
0.0000 0.0000 0.0000 Pr
0.3091 0.3091 0.0000 Sm
0.6597 0.6597 0.0000 Cd
```

Summary:
The density of states at the Fermi level comes out at 4.28 states/eV/f.u. For the volume, the calculation gives 30.84 Å³/atom. For the magnetization, the calculation gives 0.13 Bohr magnetons per cell.

Name the least stable of them. arrangement one.

Arrangement one

VASP calculation (PBE) on a relaxed Pr3Sm3Cd crystal.

POSCAR file:
```
Pr3Sm3Cd
1.0
4.3384 2.5048 7.3956
-4.3384 2.5048 7.3956
0.0000 -5.0095 7.3956
Pr Sm Cd
6 6 2
Direct
0.1043 0.7819 0.2819 Pr
0.2181 0.7181 0.8957 Pr
0.2819 0.1043 0.7819 Pr
0.7181 0.8957 0.2181 Pr
0.7819 0.2819 0.1043 Pr
0.8957 0.2181 0.7181 Pr
0.0437 0.5705 0.7450 Sm
0.2550 0.9563 0.4295 Sm
0.4295 0.2550 0.9563 Sm
0.5705 0.7450 0.0437 Sm
0.7450 0.0437 0.5705 Sm
0.9563 0.4295 0.2550 Sm
0.3320 0.3320 0.3320 Cd
0.6680 0.6680 0.6680 Cd
```

Summary:
The density of states at the Fermi level comes out at 7.67 states/eV/f.u. For the volume, the calculation gives 34.44 Å³/atom. For the magnetization, the calculation gives 0.00 Bohr magnetons per cell.

Arrangement two

VASP calculation (PBE) on a relaxed Pr3Sm3Cd crystal.

POSCAR file:
```
Pr3Sm3Cd
1.0
9.6389 0.0000 0.0000
0.0000 5.7125 0.0000
-4.8170 0.0000 8.3533
Pr Sm Cd
6 6 2
Direct
0.0240 0.2500 0.1313 Pr
0.1313 0.7500 0.6076 Pr
0.3925 0.7500 0.0240 Pr
0.6075 0.2500 0.9760 Pr
0.8687 0.2500 0.3924 Pr
0.9760 0.7500 0.8687 Pr
0.2586 0.7500 0.3190 Sm
0.3190 0.2500 0.5603 Sm
0.4398 0.2500 0.2588 Sm
0.5602 0.7500 0.7412 Sm
0.6810 0.7500 0.4397 Sm
0.7414 0.2500 0.6810 Sm
0.1668 0.2500 0.8335 Cd
0.8332 0.7500 0.1665 Cd
```

Summary:
The density of states at the Fermi level comes out at 8.61 states/eV/f.u. For the volume, the calculation gives 32.85 Å³/atom. For the magnetization, the calculation gives 0.00 Bohr magnetons per cell.

Name the least stable of them. arrangement one.

Arrangement one

VASP calculation (PBE) on a relaxed Pr6SmCd2 crystal.

POSCAR file:
```
Pr6SmCd2
1.0
6.5432 -1.9360 0.0000
6.5432 1.9360 0.0000
-3.9721 0.0000 11.7320
Pr Sm Cd
6 1 2
Direct
0.0206 0.0206 0.3371 Pr
0.3111 0.3111 0.4114 Pr
0.3161 0.3161 0.1234 Pr
0.6839 0.6839 0.8766 Pr
0.6889 0.6889 0.5886 Pr
0.9794 0.9794 0.6629 Pr
0.0000 0.0000 0.0000 Sm
0.3559 0.3559 0.7990 Cd
0.6441 0.6441 0.2010 Cd
```

Summary:
The density of states at the Fermi level comes out at 9.54 states/eV/f.u. For the volume, the calculation gives 33.03 Å³/atom. For the magnetization, the calculation gives 0.00 Bohr magnetons per cell.

Arrangement two

VASP calculation (PBE) on a relaxed Pr6SmCd2 crystal.

POSCAR file:
```
Pr6SmCd2
1.0
7.9596 -5.9131 0.0000
7.9596 5.9131 0.0000
-0.6847 0.0000 6.2461
Pr Sm Cd
12 2 4
Direct
0.0666 0.8184 0.9904 Pr
0.1479 0.4015 0.1642 Pr
0.1816 0.9334 0.5096 Pr
0.2330 0.5323 0.6880 Pr
0.4015 0.1479 0.6642 Pr
0.4677 0.7670 0.8120 Pr
0.5323 0.2330 0.1880 Pr
0.5985 0.8521 0.3358 Pr
0.7670 0.4677 0.3120 Pr
0.8184 0.0666 0.4904 Pr
0.8521 0.5985 0.8358 Pr
0.9334 0.1816 0.0096 Pr
0.3951 0.6049 0.2500 Sm
0.6049 0.3951 0.7500 Sm
0.0400 0.2882 0.5929 Cd
0.2882 0.0400 0.0929 Cd
0.7118 0.9600 0.9071 Cd
0.9600 0.7118 0.4071 Cd
```

Summary:
The density of states at the Fermi level comes out at 11.44 states/eV/f.u. For the volume, the calculation gives 32.66 Å³/atom. For the magnetization, the calculation gives 0.00 Bohr magnetons per cell.

Name the least stable of them. arrangement two.

Arrangement one

VASP calculation (PBE) on a relaxed PrSm3Cd crystal.

POSCAR file:
```
PrSm3Cd
1.0
4.2700 -7.4924 0.0000
4.2700 7.4924 0.0000
0.0000 0.0000 5.3319
Pr Sm Cd
2 6 2
Direct
0.0888 0.9112 0.7500 Pr
0.9112 0.0888 0.2500 Pr
0.1458 0.4494 0.7500 Sm
0.4477 0.5523 0.2500 Sm
0.4494 0.1458 0.2500 Sm
0.5506 0.8542 0.7500 Sm
0.5523 0.4477 0.7500 Sm
0.8542 0.5506 0.2500 Sm
0.2521 0.7479 0.2500 Cd
0.7479 0.2521 0.7500 Cd
```

Summary:
The density of states at the Fermi level comes out at 4.67 states/eV/f.u. For the volume, the calculation gives 34.12 Å³/atom. For the magnetization, the calculation gives 0.00 Bohr magnetons per cell.

Arrangement two

VASP calculation (PBE) on a relaxed PrSm3Cd crystal.

POSCAR file:
```
PrSm3Cd
1.0
3.7729 0.0000 0.0000
1.8862 6.6033 0.0000
0.0018 0.6532 12.9100
Pr Sm Cd
2 6 2
Direct
0.2287 0.0416 0.2506 Pr
0.7713 0.9584 0.7494 Pr
0.0381 0.4234 0.6894 Sm
0.1456 0.2092 0.9482 Sm
0.3670 0.7676 0.5258 Sm
0.6330 0.2324 0.4742 Sm
0.8544 0.7908 0.0518 Sm
0.9619 0.5766 0.3106 Sm
0.4465 0.6072 0.8732 Cd
0.5535 0.3928 0.1268 Cd
```

Summary:
The density of states at the Fermi level comes out at 6.97 states/eV/f.u. For the volume, the calculation gives 32.16 Å³/atom. For the magnetization, the calculation gives 0.00 Bohr magnetons per cell.

Name the least stable of them. arrangement one.